This record from Alexandria via LeMat-Bulk describes a relaxed CrIr2Se crystal. The functional is PBE. Values from VASP.

The structure in Quantum ESPRESSO input format:
```
&SYSTEM
  ibrav = 0, nat = 4, ntyp = 3
/
ATOMIC_SPECIES
Cr 52.00 Cr.upf
Ir 192.22 Ir.upf
Se 78.96 Se.upf
CELL_PARAMETERS angstrom
2.841 0.000 0.000
0.000 3.672 0.000
0.000 0.000 5.829
ATOMIC_POSITIONS angstrom
Cr 0.000 0.000 0.000
Ir 0.000 0.000 2.649
Ir 1.421 1.836 1.277
Se 1.421 1.836 4.531
```

Symmetry: Pmm2 (25)
Total magnetic moment, μB/cell: 1.47
Energy relative to the elements, uncorrected, eV/atom: 0.313
D(E_F), states/eV/atom: 1.14
Calculated volume, Å³/cell: 60.8